No. 1
DFT (PBE-GGA) results for LiHfPaOs after structural relaxation.

Cell lengths 6.744, 6.744, 6.744 Å; angles 90.00, 90.00, 90.00 degrees
Space group F-43m (No. 216)
Symmetry-distinct sites (fractional):
Li1 0.000 0.000 0.000 x4
Hf1 0.250 0.250 0.750 x4
Pa1 0.250 0.250 0.250 x4
Os1 0.000 0.000 0.500 x4

Computed properties:
Calculated volume: 19.17 Å³/atom
Formation energy from the elements: -0.080 eV/atom
Crystal system: cubic
Total moment: 0.0 Bohr magnetons per cell

No. 2
DFT (PBE-GGA) results for LiPmHfOs after structural relaxation.

Cell lengths 6.813, 6.813, 6.813 Å; angles 90.00, 90.00, 90.00 degrees
Space group F-43m (No. 216)
Symmetry-distinct sites (fractional):
Li1 0.000 0.000 0.000 x4
Pm1 0.250 0.250 0.250 x4
Hf1 0.250 0.250 0.750 x4
Os1 0.000 0.000 0.500 x4

Computed properties:
Calculated volume: 19.76 Å³/atom
Formation energy from the elements: -0.142 eV/atom
Crystal system: cubic
Total moment: 0.0 Bohr magnetons per cell

No. 3
DFT (PBE-GGA) results for LiPrHfOs after structural relaxation.

Cell lengths 6.869, 6.869, 6.869 Å; angles 90.00, 90.00, 90.00 degrees
Space group F-43m (No. 216)
Symmetry-distinct sites (fractional):
Li1 0.000 0.000 0.000 x4
Pr1 0.250 0.250 0.250 x4
Hf1 0.250 0.250 0.750 x4
Os1 0.000 0.000 0.500 x4

Computed properties:
Calculated volume: 20.25 Å³/atom
Formation energy from the elements: -0.070 eV/atom
Crystal system: cubic
Total moment: 0.0 Bohr magnetons per cell

No. 4
DFT (PBE-GGA) results for LiHfOsPt after structural relaxation.

Cell lengths 6.296, 6.296, 6.296 Å; angles 90.00, 90.00, 90.00 degrees
Space group F-43m (No. 216)
Symmetry-distinct sites (fractional):
Li1 0.000 0.000 0.000 x4
Hf1 0.000 0.000 0.500 x4
Os1 0.250 0.250 0.250 x4
Pt1 0.250 0.250 0.750 x4

Computed properties:
Calculated volume: 15.60 Å³/atom
Formation energy from the elements: -0.467 eV/atom
Crystal system: cubic
Total moment: 0.0 Bohr magnetons per cell

What are the DOS(E_F) values for these records? In order: 1.07; 0.76; 0.78; 0.72 states/eV/atom.
What are the electronic total energy values for these records? In order: -131.65; -113.66; -112.62; -124.02 eV/cell.